# Sm4Er3In2, optimized geometry, DFT PBE-GGA
data_Sm4Er3In2
_chemical_formula_sum 'Sm4 Er3 In2'
_space_group_name_H-M_alt 'P 1'
_space_group_IT_number 1
_space_group_name_Hall 'P 1'
_cell_length_a 5.347
_cell_length_b 6.753
_cell_length_c 8.518
_cell_angle_alpha 103.46
_cell_angle_beta 90.06
_cell_angle_gamma 113.31
loop_
_atom_site_label
_atom_site_type_symbol
_atom_site_fract_x
_atom_site_fract_y
_atom_site_fract_z
_atom_site_occupancy
Sm1 Sm 0.116 0.233 0.157 1
Sm2 Sm 0.331 0.662 0.535 1
Sm3 Sm 0.669 0.338 0.465 1
Sm4 Sm 0.884 0.767 0.843 1
Er1 Er 0.000 0.000 0.500 1
Er2 Er 0.421 0.842 0.148 1
Er3 Er 0.579 0.158 0.852 1
In1 In 0.207 0.415 0.818 1
In2 In 0.793 0.585 0.182 1
# Energy (eV per atom): -4.412
# Formation enthalpy at 0 K (eV/atom): -0.18